Entry from the Alexandria database: crystalline Ba3In2Ag2Hg4 at its relaxed geometry (PBE-GGA).

Properties
Size of the total moment ... 0.0 μB/f.u.
Formation enthalpy at 0 K ... -0.33 eV/atom

Structure (extended XYZ):
```
11
Lattice="-1.8917 -0.9795 -4.6154 -2.0939 -2.1350 4.1106 -9.8784 12.4121 1.4146" Properties=species:S:1:pos:R:3 pbc="T T T"
Ag -10.5250 9.3983 -0.4801
Ag -3.3390 -0.1007 1.3899
In -6.2052 3.9705 -1.0987
In -7.6588 5.3271 2.0085
Hg -5.8349 3.0353 1.7473
Hg -8.0292 6.2623 -0.8375
Hg -10.6073 9.0318 2.4308
Hg -3.2567 0.2658 -1.5209
Ba -7.2474 9.1063 1.0379
Ba -2.6310 3.3058 0.3768
Ba 0.0000 0.0000 0.0000
```

Entry from the Alexandria database: crystalline BaIn4Ag2Hg at its relaxed geometry (PBE-GGA).

Properties
Size of the total moment ... 0.0 μB/f.u.
Formation enthalpy at 0 K ... -0.15 eV/atom

Structure (extended XYZ):
```
8
Lattice="4.9062 0.0000 0.0000 2.4531 4.2489 0.0000 2.4531 1.4163 10.5172" Properties=species:S:1:pos:R:3 pbc="T T T"
In 2.4531 1.4163 6.6145
In 4.9062 2.8326 2.1895
In 7.3593 4.2489 3.9027
In 4.9062 2.8326 8.3276
Ba 0.0000 0.0000 0.0000
Ag 2.4531 1.4163 2.6603
Ag 7.3593 4.2489 7.8569
Hg 4.9062 2.8326 5.2586
```

Entry from the Alexandria database: crystalline Ba2In4Ag3Hg at its relaxed geometry (PBE-GGA).

Properties
Size of the total moment ... 0.0 μB/f.u.
Formation enthalpy at 0 K ... -0.31 eV/atom

Structure (extended XYZ):
```
10
Lattice="4.8917 0.0000 0.0000 0.0000 4.8917 0.0000 0.0000 0.0000 11.7799" Properties=species:S:1:pos:R:3 pbc="T T T"
Hg 2.4458 2.4458 5.8900
In 2.4458 2.4458 0.0000
In 2.4458 0.0000 7.4444
In 0.0000 2.4458 4.3356
In 0.0000 0.0000 0.0000
Ag 0.0000 2.4458 1.5323
Ag 2.4458 0.0000 10.2477
Ag 0.0000 0.0000 5.8900
Ba 0.0000 2.4458 8.8040
Ba 2.4458 0.0000 2.9759
```

Entry from the Alexandria database: crystalline Ba2In3AgHg4 at its relaxed geometry (PBE-GGA).

Properties
Size of the total moment ... 0.0 μB/f.u.
Formation enthalpy at 0 K ... -0.33 eV/atom

Structure (extended XYZ):
```
10
Lattice="5.1162 0.0000 0.0000 0.0000 5.1162 0.0000 0.0000 0.0000 11.2987" Properties=species:S:1:pos:R:3 pbc="T T T"
Ag 2.5581 2.5581 5.6493
Ba 0.0000 2.5581 8.4630
Ba 2.5581 0.0000 2.8356
In 0.0000 2.5581 1.4610
In 2.5581 0.0000 9.8376
In 0.0000 0.0000 5.6493
Hg 0.0000 0.0000 0.0000
Hg 2.5581 2.5581 0.0000
Hg 0.0000 2.5581 4.2915
Hg 2.5581 0.0000 7.0071
```

Entry from the Alexandria database: crystalline Ba8AgHg2Ir at its relaxed geometry (PBE-GGA).

Properties
Size of the total moment ... 0.0 μB/f.u.
Formation enthalpy at 0 K ... -0.24 eV/atom

Structure (extended XYZ):
```
12
Lattice="-2.2199 5.0114 6.0303 -7.3872 -2.3853 -0.6029 1.7326 -6.9950 6.4512" Properties=species:S:1:pos:R:3 pbc="T T T"
Ag 0.8663 -3.4975 3.2256
Hg -4.3930 -0.3442 4.2423
Hg -3.4815 -4.0247 7.6362
Ir 0.0000 0.0000 0.0000
Ba -4.7135 -6.4459 5.4506
Ba -7.2301 1.6364 3.7159
Ba -5.6512 -2.6602 1.9594
Ba -6.1040 -1.9198 6.8083
Ba -3.1610 2.0770 6.4280
Ba -2.2233 -1.7087 9.9191
Ba -0.6444 -6.0053 8.1626
Ba -1.7705 -2.4492 5.0703
```

Entry from the Alexandria database: crystalline Ba6AgHg2Ir at its relaxed geometry (PBE-GGA).

Properties
Size of the total moment ... 0.0 μB/f.u.
Formation enthalpy at 0 K ... -0.30 eV/atom

Structure (extended XYZ):
```
20
Lattice="-3.9824 0.5566 7.0527 -7.8430 -0.5979 -4.3815 0.1404 -11.9843 1.3840" Properties=species:S:1:pos:R:3 pbc="T T T"
Ba -9.6627 -6.7743 2.8682
Ba -9.4960 -11.2128 3.7130
Ba -2.0223 -5.2513 1.1870
Ba -4.9056 -6.5874 4.1161
Ba -8.9022 -9.2251 -0.6437
Ba -4.0795 -9.3270 -0.0114
Ba -7.6055 -2.6986 4.0667
Ba -2.1890 -0.8129 0.3422
Ba -6.4903 -0.9651 -0.6511
Ba -6.7794 -5.4383 -0.0608
Ba -5.1946 -11.0605 4.7063
Ba -2.7828 -2.8005 4.6989
Ir -1.9210 -5.7139 4.2184
Ir -3.9215 -0.2989 -2.1907
Hg -4.8218 -2.9483 1.8042
Hg -6.8631 -9.0773 2.2511
Hg -7.1496 -3.5317 -3.2005
Hg -4.5353 -8.4939 7.2558
Ag -1.9912 0.2783 3.5263
Ag -3.8513 -6.2911 -1.4987
```

Entry from the Alexandria database: crystalline KBaAgHg at its relaxed geometry (PBE-GGA).

Properties
Size of the total moment ... 0.0 μB/f.u.
Formation enthalpy at 0 K ... -0.20 eV/atom

Structure (extended XYZ):
```
4
Lattice="-1.7265 -4.7903 2.9010 0.7064 -5.2966 -2.4063 3.9865 -3.7009 2.1805" Properties=species:S:1:pos:R:3 pbc="T T T"
K 1.4832 -6.8939 1.3376
Hg 2.2248 -10.3408 2.0063
Ba 0.0000 0.0000 0.0000
Ag 0.7416 -3.4469 0.6688
```

Entry from the Alexandria database: crystalline BaLa2Ag2Hg2 at its relaxed geometry (PBE-GGA).

Properties
Size of the total moment ... 0.0 μB/f.u.
Formation enthalpy at 0 K ... -0.30 eV/atom

Structure (extended XYZ):
```
7
Lattice="-3.1999 -3.8853 0.4270 0.6634 -3.4291 3.6494 -6.4739 2.8566 7.3571" Properties=species:S:1:pos:R:3 pbc="T T T"
Ag -3.0999 -3.5508 4.2192
Ag -5.9104 -0.9070 7.2143
Ba 0.0000 0.0000 0.0000
Hg -2.2376 -1.1286 2.8424
Hg -6.7728 -3.3292 8.5911
La -4.7298 -5.2511 6.4139
La -4.2806 0.7933 5.0197
```

Q: What is the size of the total moment in the second record?
A: 0.0 μB/f.u.